Record 1
{"formula": "BaTe2W", "functional": "PBE-GGA", "state": "optimized geometry", "cell": [[5.396, 0.000, 0.000], [0.000, 4.453, 0.000], [0.000, 0.000, 5.396]], "species": ["Ba", "Te", "Te", "W"], "fractional_positions": [[0.500, 0.750, 0.873], [0.000, 0.250, 0.877], [0.500, 0.250, 0.373], [0.000, 0.250, 0.377]], "dos_at_fermi_per_ev_atom": 0.796, "formation_energy_uncorrected_ev_per_atom": 0.025, "e_tot_ev_per_atom": -5.2647, "volume_a3_per_cell": 130}

=====

Record 2
{"formula": "RuPt", "functional": "PBE-GGA", "state": "optimized geometry", "cell": [[10.494, 0.000, 0.000], [0.000, 10.980, 0.000], [0.000, 0.000, 8.075]], "species": ["Ru", "Ru", "Ru", "Ru", "Ru", "Ru", "Ru", "Ru", "Ru", "Ru", "Ru", "Ru", "Ru", "Ru", "Ru", "Ru", "Pt", "Pt", "Pt", "Pt", "Pt", "Pt", "Pt", "Pt", "Pt", "Pt", "Pt", "Pt", "Pt", "Pt", "Pt", "Pt"], "fractional_positions": [[0.000, 0.845, 0.000], [0.000, 0.155, 0.000], [0.250, 0.905, 0.250], [0.250, 0.595, 0.250], [0.000, 0.345, 0.500], [0.000, 0.655, 0.500], [0.250, 0.405, 0.750], [0.250, 0.095, 0.750], [0.500, 0.845, 0.500], [0.500, 0.155, 0.500], [0.750, 0.905, 0.750], [0.750, 0.595, 0.750], [0.500, 0.345, 0.000], [0.500, 0.655, 0.000], [0.750, 0.405, 0.250], [0.750, 0.095, 0.250], [0.166, 0.000, 0.000], [0.834, 0.000, 0.000], [0.084, 0.750, 0.250], [0.416, 0.750, 0.250], [0.166, 0.500, 0.500], [0.834, 0.500, 0.500], [0.084, 0.250, 0.750], [0.416, 0.250, 0.750], [0.666, 0.000, 0.500], [0.334, 0.000, 0.500], [0.584, 0.750, 0.750], [0.916, 0.750, 0.750], [0.666, 0.500, 0.000], [0.334, 0.500, 0.000], [0.584, 0.250, 0.250], [0.916, 0.250, 0.250]], "ef_ev_per_atom": 1.28, "dos_at_fermi_per_ev_atom": 0.845, "e_tot_ev_per_atom": -6.3794, "volume_a3_per_cell": 930}

=====

Record 3
{"formula": "La4Nd5Tm", "functional": "PBE-GGA", "state": "optimized geometry", "cell": [[-0.724, 3.477, -1.046], [0.351, -0.994, -3.549], [-25.324, -5.562, -0.949]], "species": ["La", "La", "La", "La", "Nd", "Nd", "Nd", "Nd", "Nd", "Tm"], "fractional_positions": [[0.000, 0.000, 0.196], [0.000, 0.000, 0.399], [0.000, 0.000, 0.601], [0.000, 0.000, 0.804], [0.500, 0.500, 0.095], [0.500, 0.500, 0.298], [0.500, 0.500, 0.500], [0.500, 0.500, 0.702], [0.500, 0.500, 0.905], [0.000, 0.000, 0.000]], "ef_ev_per_atom": 0.02, "dos_at_fermi_per_ev_atom": 1.916, "e_tot_ev_per_atom": -4.7794, "volume_a3_per_cell": 356}

=====

Record 4
{"formula": "Bi2Te2Se", "functional": "PBE-GGA", "state": "optimized geometry", "cell": [[-0.239, 2.968, -5.339], [-6.009, 0.848, 0.740], [-2.302, 5.849, -0.145]], "species": ["Te", "Te", "Bi", "Bi", "Se"], "fractional_positions": [[0.750, 0.250, 0.500], [0.250, 0.750, 0.500], [0.320, 0.320, 0.360], [0.680, 0.680, 0.640], [0.000, 0.000, 0.000]], "dos_at_fermi_per_ev_atom": 0.759, "formation_energy_uncorrected_ev_per_atom": 0.079, "e_tot_ev_per_atom": -3.4265, "volume_a3_per_cell": 171}

=====

Record 5
{"formula": "Tm4Bi2H", "functional": "PBE-GGA", "state": "optimized geometry", "cell": [[4.484, 0.000, 0.000], [0.000, 4.484, 0.000], [-2.242, -2.242, 8.444]], "species": ["H", "Tm", "Tm", "Tm", "Tm", "Bi", "Bi"], "fractional_positions": [[0.000, 0.000, 0.000], [0.825, 0.825, 0.650], [0.175, 0.175, 0.350], [0.000, 0.500, 0.000], [0.500, 0.000, 0.000], [0.640, 0.640, 0.280], [0.360, 0.360, 0.720]], "dos_at_fermi_per_ev_atom": 0.799, "e_tot_ev_per_atom": -4.6619, "volume_a3_per_cell": 170}

=====

Record 6
{"formula": "MnRu2Br", "functional": "PBE-GGA", "state": "optimized geometry", "cell": [[5.303, 0.036, -0.011], [2.582, 4.632, 0.011], [-3.420, -3.216, 2.466]], "species": ["Br", "Mn", "Ru", "Ru"], "fractional_positions": [[0.508, 0.508, 0.000], [0.262, 0.762, 0.500], [0.992, 0.992, 0.000], [0.738, 0.238, 0.500]], "dos_at_fermi_per_ev_atom": 1.266, "formation_energy_uncorrected_ev_per_atom": 0.726, "e_tot_ev_per_atom": -6.6222, "volume_a3_per_cell": 60}

=====

Record 7
{"formula": "Ce4Pm3S8", "functional": "PBE-GGA", "state": "optimized geometry", "cell": [[-5.173, 1.120, 6.083], [-1.330, -5.830, -5.404], [7.334, -3.014, 1.446]], "species": ["Ce", "Ce", "Ce", "Ce", "Pm", "Pm", "Pm", "S", "S", "S", "S", "S", "S", "S", "S"], "fractional_positions": [[0.500, 0.000, 0.000], [0.000, 0.500, 0.000], [0.000, 0.000, 0.000], [0.000, 0.000, 0.500], [0.500, 0.500, 0.000], [0.500, 0.000, 0.500], [0.500, 0.500, 0.500], [0.500, 0.250, 0.250], [0.000, 0.750, 0.250], [0.000, 0.250, 0.250], [0.500, 0.750, 0.250], [0.500, 0.250, 0.750], [0.000, 0.750, 0.750], [0.000, 0.250, 0.750], [0.500, 0.750, 0.750]], "dos_at_fermi_per_ev_atom": 1.566, "formation_energy_uncorrected_ev_per_atom": -2.028, "e_tot_ev_per_atom": -6.7614, "volume_a3_per_cell": 370}

=====

Record 8
{"formula": "Pr8P3Se4O", "functional": "PBE-GGA", "state": "optimized geometry", "cell": [[-7.587, -1.591, -2.837], [2.894, -6.955, -3.838], [1.262, 0.952, 8.101]], "species": ["Pr", "Pr", "Pr", "Pr", "Pr", "Pr", "Pr", "Pr", "P", "P", "P", "Se", "Se", "Se", "Se", "O"], "fractional_positions": [[0.235, 0.721, 0.986], [0.235, 0.721, 0.469], [0.256, 0.269, 0.513], [0.752, 0.721, 0.986], [0.248, 0.279, 0.014], [0.744, 0.731, 0.487], [0.765, 0.279, 0.531], [0.765, 0.279, 0.014], [0.500, 0.500, 0.000], [0.500, 0.500, 0.500], [0.000, 0.500, 0.500], [0.500, 0.000, 0.000], [0.500, 0.000, 0.500], [0.000, 0.000, 0.000], [0.000, 0.000, 0.500], [0.000, 0.500, 0.000]], "dos_at_fermi_per_ev_atom": 0.479, "formation_energy_uncorrected_ev_per_atom": -1.839, "e_tot_ev_per_atom": -6.4237, "volume_a3_per_cell": 412}